Entry from Alexandria via LeMat-Bulk: an optimized crystal structure of LiLu2Cu (PBE).

abc: 3.4641 3.4641 7.1519
angles: 90.00 90.00 90.00
Fractional positions:
Cu: 0.5000 0.5000 0.0000
Lu: 0.0000 0.0000 0.2271
Lu: 0.0000 0.0000 0.7729
Li: 0.5000 0.5000 0.5000

Values from the calculation:
N(E_F): 2.49 states/eV per cell
space group: P4/mmm (123)
energy of formation from the pure elements: -0.084 eV/atom
offset from the most stable computed form: 0.0000 eV/atom

Entry from Alexandria via LeMat-Bulk: an optimized crystal structure of PmEuCuNi (PBE).

abc: 4.9875 4.9875 4.9875
angles: 60.00 60.00 60.00
Fractional positions:
Pm: 0.5000 0.5000 0.5000
Ni: 0.2500 0.2500 0.2500
Cu: 0.7500 0.7500 0.7500
Eu: 0.0000 0.0000 0.0000

Values from the calculation:
N(E_F): 5.96 states/eV per cell
space group: F-43m (216)
energy of formation from the pure elements: -0.125 eV/atom

Entry from Alexandria via LeMat-Bulk: an optimized crystal structure of TmAlOs (PBE).

abc: 4.4822 7.1592 7.0354
angles: 90.00 90.00 90.00
Fractional positions:
Tm: 0.2500 0.8065 0.4841
Os: 0.7500 0.9353 0.8290
Os: 0.7500 0.5647 0.3290
Al: 0.2500 0.1040 0.8093
Al: 0.7500 0.6040 0.6907
Al: 0.2500 0.3960 0.3093
Al: 0.7500 0.8960 0.1907
Tm: 0.7500 0.1935 0.5159
Os: 0.2500 0.0647 0.1710
Tm: 0.7500 0.3065 0.0159
Os: 0.2500 0.4353 0.6710
Tm: 0.2500 0.6935 0.9841

Values from the calculation:
N(E_F): 7.02 states/eV per cell
space group: Pnma (62)
energy of formation from the pure elements: -0.478 eV/atom

Entry from Alexandria via LeMat-Bulk: an optimized crystal structure of K5PbS4 (PBE).

abc: 4.6222 8.2417 9.9094
angles: 114.72 103.49 90.00
Fractional positions:
K: 0.1720 0.4097 0.3439
K: 0.8280 0.5903 0.6561
S: 0.3203 0.8213 0.6405
S: 0.9996 0.7656 0.9993
K: 0.1714 0.9312 0.3429
S: 0.0004 0.2344 0.0007
Pb: 0.5000 0.0000 0.0000
K: 0.5000 0.5000 0.0000
K: 0.8286 0.0688 0.6571
S: 0.6797 0.1787 0.3595

Values from the calculation:
N(E_F): 6.51 states/eV per cell
space group: C2/m (12)
formation energy from raw total energies: -0.81 eV per atom

Entry from Alexandria via LeMat-Bulk: an optimized crystal structure of BeNbRh (PBE).

abc: 2.8744 2.8744 5.2751
angles: 105.81 105.81 90.00
Fractional positions:
Be: 0.3111 0.3111 0.6222
Rh: 0.6942 0.6942 0.3883
Nb: 0.9947 0.9947 0.9894

Values from the calculation:
N(E_F): 2.36 states/eV per cell
space group: I4mm (107)
energy of formation from the pure elements: -0.390 eV/atom
offset from the most stable computed form: 0.0858 eV/atom

Entry from Alexandria via LeMat-Bulk: an optimized crystal structure of Ce2Sm2ZnSi4 (PBE).

abc: 6.5018 6.5018 6.5018
angles: 98.19 115.39 115.39
Fractional positions:
Si: 0.4814 0.2407 0.2407
Zn: 0.0000 0.0000 0.0000
Si: 0.0000 0.2407 0.7593
Si: 0.5186 0.7593 0.7593
Ce: 0.0000 0.6758 0.6758
Sm: 0.5000 0.2500 0.7500
Ce: 0.0000 0.3242 0.3242
Sm: 0.5000 0.7500 0.2500
Si: 0.0000 0.7593 0.2407

Values from the calculation:
N(E_F): 10.72 states/eV per cell
space group: I4/mmm (139)
formation energy from raw total energies: -0.18 eV per atom

Entry from Alexandria via LeMat-Bulk: an optimized crystal structure of TiTc2Ge2 (PBE).

abc: 4.5575 4.7733 4.3956
angles: 73.71 58.77 90.00
Fractional positions:
Ti: 0.0000 0.0000 0.0000
Tc: 0.3780 0.2119 0.2440
Tc: 0.6220 0.7881 0.7560
Ge: 0.7557 0.3483 0.4886
Ge: 0.2443 0.6517 0.5114

Values from the calculation:
N(E_F): 3.70 states/eV per cell
space group: C2/m (12)
energy of formation from the pure elements: -0.201 eV/atom
offset from the most stable computed form: 0.0231 eV/atom

Entry from Alexandria via LeMat-Bulk: an optimized crystal structure of Sc2FeAs (PBE).

abc: 3.7351 3.7340 5.5181
angles: 90.00 90.00 90.00
Fractional positions:
Sc: 0.5000 0.5000 0.2978
Sc: 0.0000 0.0000 0.9407
As: 0.0000 0.0000 0.4448
Fe: 0.5000 0.5000 0.8167

Values from the calculation:
N(E_F): 2.98 states/eV per cell
space group: P4mm (99)
energy of formation from the pure elements: -0.333 eV/atom